# 1
First-principles (GGA-PBE) data for a relaxed Cs3AgHg2Cl8 crystal, as listed in Alexandria.

CIF file:
```
data_Cs3AgHg2Cl8
_symmetry_space_group_name_H-M 'P 1'
_symmetry_Int_Tables_number 1
_cell_length_a 7.595
_cell_length_b 7.595
_cell_length_c 9.941
_cell_angle_alpha 90.00
_cell_angle_beta 90.00
_cell_angle_gamma 120.00
loop_
_symmetry_equiv_pos_as_xyz
'x,y,z'
loop_
_atom_site_label
_atom_site_fract_x
_atom_site_fract_y
_atom_site_fract_z
_atom_site_occupancy
Cs1 0.000 0.000 0.000 1
Cs2 0.333 0.667 0.617 1
Cs3 0.667 0.333 0.383 1
Ag1 0.000 0.000 0.500 1
Hg1 0.333 0.667 0.201 1
Hg2 0.667 0.333 0.799 1
Cl1 0.161 0.321 0.325 1
Cl2 0.161 0.839 0.325 1
Cl3 0.321 0.161 0.675 1
Cl4 0.333 0.667 0.956 1
Cl5 0.667 0.333 0.044 1
Cl6 0.679 0.839 0.325 1
Cl7 0.839 0.161 0.675 1
Cl8 0.839 0.679 0.675 1
```

Properties
electronic total energy = -2.68 eV per atom
calculated density = 3984 kg/m³

***

# 2
First-principles (GGA-PBE) data for a relaxed CsAg4Hg3Cl12 crystal, as listed in Alexandria.

CIF file:
```
data_CsAg4Hg3Cl12
_symmetry_space_group_name_H-M 'P 1'
_symmetry_Int_Tables_number 1
_cell_length_a 9.058
_cell_length_b 9.058
_cell_length_c 9.058
_cell_angle_alpha 106.34
_cell_angle_beta 106.34
_cell_angle_gamma 106.34
loop_
_symmetry_equiv_pos_as_xyz
'x,y,z'
loop_
_atom_site_label
_atom_site_fract_x
_atom_site_fract_y
_atom_site_fract_z
_atom_site_occupancy
Cs1 0.000 0.000 0.000 1
Ag1 0.102 0.500 0.898 1
Ag2 0.500 0.500 0.500 1
Ag3 0.500 0.898 0.102 1
Ag4 0.898 0.102 0.500 1
Hg1 0.000 0.581 0.419 1
Hg2 0.419 0.000 0.581 1
Hg3 0.581 0.419 0.000 1
Cl1 0.003 0.642 0.731 1
Cl2 0.081 0.919 0.500 1
Cl3 0.269 0.358 0.997 1
Cl4 0.328 0.672 0.500 1
Cl5 0.358 0.997 0.269 1
Cl6 0.500 0.081 0.919 1
Cl7 0.500 0.328 0.672 1
Cl8 0.642 0.731 0.003 1
Cl9 0.672 0.500 0.328 1
Cl10 0.731 0.003 0.642 1
Cl11 0.919 0.500 0.081 1
Cl12 0.997 0.269 0.358 1
```

Properties
density of states at the Fermi level = 12.197 states/eV/f.u.
electronic total energy = -2.37 eV per atom
calculated density = 4197 kg/m³

***

# 3
First-principles (GGA-PBE) data for a relaxed Cs2Ag2HgCl6 crystal, as listed in Alexandria.

CIF file:
```
data_Cs2Ag2HgCl6
_symmetry_space_group_name_H-M 'P 1'
_symmetry_Int_Tables_number 1
_cell_length_a 8.155
_cell_length_b 8.155
_cell_length_c 8.155
_cell_angle_alpha 58.16
_cell_angle_beta 58.16
_cell_angle_gamma 58.16
loop_
_symmetry_equiv_pos_as_xyz
'x,y,z'
loop_
_atom_site_label
_atom_site_fract_x
_atom_site_fract_y
_atom_site_fract_z
_atom_site_occupancy
Cs1 0.230 0.230 0.230 1
Cs2 0.770 0.770 0.770 1
Ag1 0.426 0.426 0.426 1
Ag2 0.574 0.574 0.574 1
Hg1 0.000 0.000 0.000 1
Cl1 0.220 0.762 0.762 1
Cl2 0.238 0.238 0.780 1
Cl3 0.238 0.780 0.238 1
Cl4 0.762 0.220 0.762 1
Cl5 0.762 0.762 0.220 1
Cl6 0.780 0.238 0.238 1
```

Properties
electronic total energy = -2.74 eV per atom
calculated density = 4046 kg/m³

***

# 4
First-principles (GGA-PBE) data for a relaxed CsHoAgCl5 crystal, as listed in Alexandria.

CIF file:
```
data_CsHoAgCl5
_symmetry_space_group_name_H-M 'P 1'
_symmetry_Int_Tables_number 1
_cell_length_a 7.786
_cell_length_b 7.786
_cell_length_c 10.195
_cell_angle_alpha 101.73
_cell_angle_beta 101.73
_cell_angle_gamma 109.14
loop_
_symmetry_equiv_pos_as_xyz
'x,y,z'
loop_
_atom_site_label
_atom_site_fract_x
_atom_site_fract_y
_atom_site_fract_z
_atom_site_occupancy
Cs1 0.161 0.839 0.750 1
Cs2 0.839 0.161 0.250 1
Ho1 0.500 0.500 0.000 1
Ho2 0.500 0.500 0.500 1
Ag1 0.187 0.813 0.250 1
Ag2 0.813 0.187 0.750 1
Cl1 0.143 0.263 0.932 1
Cl2 0.215 0.601 0.415 1
Cl3 0.263 0.143 0.432 1
Cl4 0.399 0.785 0.085 1
Cl5 0.440 0.560 0.750 1
Cl6 0.560 0.440 0.250 1
Cl7 0.601 0.215 0.915 1
Cl8 0.737 0.857 0.568 1
Cl9 0.785 0.399 0.585 1
Cl10 0.857 0.737 0.068 1
```

Properties
density of states at the Fermi level = 0.000 states/eV/f.u.
electronic total energy = -3.97 eV per atom
calculated density = 3541 kg/m³

***

# 5
First-principles (GGA-PBE) data for a relaxed Cs3HoAg2Cl8 crystal, as listed in Alexandria.

CIF file:
```
data_Cs3HoAg2Cl8
_symmetry_space_group_name_H-M 'P 1'
_symmetry_Int_Tables_number 1
_cell_length_a 7.533
_cell_length_b 7.533
_cell_length_c 10.177
_cell_angle_alpha 90.00
_cell_angle_beta 90.00
_cell_angle_gamma 120.00
loop_
_symmetry_equiv_pos_as_xyz
'x,y,z'
loop_
_atom_site_label
_atom_site_fract_x
_atom_site_fract_y
_atom_site_fract_z
_atom_site_occupancy
Cs1 0.000 0.000 0.000 1
Cs2 0.333 0.667 0.637 1
Cs3 0.667 0.333 0.363 1
Ho1 0.000 0.000 0.500 1
Ag1 0.333 0.667 0.196 1
Ag2 0.667 0.333 0.804 1
Cl1 0.162 0.325 0.347 1
Cl2 0.162 0.838 0.347 1
Cl3 0.325 0.162 0.653 1
Cl4 0.333 0.667 0.960 1
Cl5 0.667 0.333 0.040 1
Cl6 0.675 0.838 0.347 1
Cl7 0.838 0.162 0.653 1
Cl8 0.838 0.675 0.653 1
```

Properties
density of states at the Fermi level = 0.000 states/eV/f.u.
electronic total energy = -3.61 eV per atom
calculated density = 3529 kg/m³

***

# 6
First-principles (GGA-PBE) data for a relaxed Cs3HoAg2Cl9 crystal, as listed in Alexandria.

CIF file:
```
data_Cs3HoAg2Cl9
_symmetry_space_group_name_H-M 'P 1'
_symmetry_Int_Tables_number 1
_cell_length_a 7.541
_cell_length_b 7.541
_cell_length_c 9.331
_cell_angle_alpha 90.00
_cell_angle_beta 90.00
_cell_angle_gamma 120.00
loop_
_symmetry_equiv_pos_as_xyz
'x,y,z'
loop_
_atom_site_label
_atom_site_fract_x
_atom_site_fract_y
_atom_site_fract_z
_atom_site_occupancy
Cs1 0.000 0.000 0.000 1
Cs2 0.333 0.667 0.680 1
Cs3 0.667 0.333 0.320 1
Ho1 0.000 0.000 0.500 1
Ag1 0.333 0.667 0.153 1
Ag2 0.667 0.333 0.847 1
Cl1 0.000 0.500 0.000 1
Cl2 0.165 0.330 0.338 1
Cl3 0.165 0.835 0.338 1
Cl4 0.330 0.165 0.662 1
Cl5 0.500 0.000 0.000 1
Cl6 0.500 0.500 0.000 1
Cl7 0.670 0.835 0.338 1
Cl8 0.835 0.165 0.662 1
Cl9 0.835 0.670 0.662 1
```

Properties
density of states at the Fermi level = 6.803 states/eV/f.u.
electronic total energy = -3.55 eV per atom
calculated density = 3969 kg/m³